Entry from OQMD via LeMat-Bulk: a geometry-optimized ZrTlCuAg structure (GGA-PBE).

- space-group type = F-43m, No. 216
- final energy (eV/atom) = -4.313
- spin magnetization (μB per cell) = 0.00
- polymorph energy (0 for the lowest one) (eV/f.u.) = 0.00
- crystal system = cubic

Geometry as POSCAR:
```
ZrTlCuAg
1.0
-0.441 -3.606 3.031
-4.278 -1.238 1.598
-1.973 -4.058 -1.422
Tl Cu Zr Ag
1 1 1 1
Direct
0.000 0.000 0.000 Tl
0.750 0.750 0.750 Cu
0.500 0.500 0.500 Zr
0.250 0.250 0.250 Ag
```